Density functional theory data (PBE-GGA) for an optimized crystal structure of CdIn2Sn2Pb4. Values from VASP.

Quantum ESPRESSO input file:
```
&SYSTEM
  ibrav = 0, nat = 9, ntyp = 4
/
ATOMIC_SPECIES
In 114.82 In.upf
Pb 207.20 Pb.upf
Cd 112.41 Cd.upf
Sn 118.71 Sn.upf
ATOMIC_POSITIONS crystal
In 0.9061 0.4322 0.1857
In 0.0939 0.5678 0.8143
Pb 0.4059 0.3060 0.5681
Pb 0.4064 0.2070 0.0188
Pb 0.5941 0.6940 0.4319
Pb 0.5936 0.7930 0.9812
Cd 0.0000 0.0000 0.0000
Sn 0.1572 0.8579 0.4147
Sn 0.8428 0.1421 0.5853
CELL_PARAMETERS angstrom
-0.4336 -3.6012 -6.0837
7.3647 -1.2954 -0.2769
-2.8835 -2.1956 5.6222
```

As for the total energy: -3.176 eV/atom. The calculation puts the formation energy at 72 meV per atom. The symmetry is No. 2. The value obtained for the total moment is 0.0 μB/f.u.



Density functional theory data (PBE-GGA) for an optimized crystal structure of CdInSnPb. Values from VASP.

Quantum ESPRESSO input file:
```
&SYSTEM
  ibrav = 0, nat = 4, ntyp = 4
/
ATOMIC_SPECIES
Pb 207.20 Pb.upf
Sn 118.71 Sn.upf
In 114.82 In.upf
Cd 112.41 Cd.upf
ATOMIC_POSITIONS crystal
Pb 0.1471 0.8529 0.7191
Sn 0.6449 0.3551 0.4574
In 0.6467 0.3533 0.9917
Cd 0.1462 0.8538 0.2205
CELL_PARAMETERS angstrom
3.3826 -0.0004 -0.0062
-0.0004 3.3826 0.0062
-0.0422 0.0422 9.6227
```

As for the total energy: -2.790 eV/atom. The calculation puts the formation energy at 52 meV per atom. The symmetry is No. 8. The value obtained for the total moment is 0.0 μB/f.u.



Density functional theory data (PBE-GGA) for an optimized crystal structure of CdIn2SnPb4. Values from VASP.

Quantum ESPRESSO input file:
```
&SYSTEM
  ibrav = 0, nat = 8, ntyp = 4
/
ATOMIC_SPECIES
Pb 207.20 Pb.upf
Cd 112.41 Cd.upf
In 114.82 In.upf
Sn 118.71 Sn.upf
ATOMIC_POSITIONS crystal
Pb 0.0000 0.7434 0.7534
Pb 0.0000 0.2566 0.2466
Pb 0.5000 0.2567 0.7495
Pb 0.5000 0.7433 0.2505
Cd 0.0000 0.5000 0.5000
In 0.0000 0.0000 0.0000
In 0.5000 0.0000 0.5000
Sn 0.5000 0.5000 0.0000
CELL_PARAMETERS angstrom
4.3608 0.0000 0.0000
0.0000 7.8598 -0.2002
0.0000 2.7220 7.2205
```

As for the total energy: -3.001 eV/atom. The calculation puts the formation energy at 152 meV per atom. The symmetry is No. 10. The value obtained for the total moment is 0.0 μB/f.u.



Density functional theory data (PBE-GGA) for an optimized crystal structure of CdIn4SnPb2. Values from VASP.

Quantum ESPRESSO input file:
```
&SYSTEM
  ibrav = 0, nat = 8, ntyp = 4
/
ATOMIC_SPECIES
Cd 112.41 Cd.upf
Sn 118.71 Sn.upf
In 114.82 In.upf
Pb 207.20 Pb.upf
ATOMIC_POSITIONS crystal
Cd 0.5000 0.5000 0.0000
Sn 0.0000 0.5000 0.5000
In 0.5000 0.2599 0.7522
In 0.0000 0.7374 0.7582
In 0.5000 0.7401 0.2478
In 0.0000 0.2626 0.2418
Pb 0.0000 0.0000 0.0000
Pb 0.5000 0.0000 0.5000
CELL_PARAMETERS angstrom
-2.3599 -0.8438 -2.4674
7.9539 -4.5559 -6.0495
-0.1275 -5.5517 2.0204
```

As for the total energy: -2.883 eV/atom. The calculation puts the formation energy at 28 meV per atom. The symmetry is No. 10. The value obtained for the total moment is 0.0 μB/f.u.



Density functional theory data (PBE-GGA) for an optimized crystal structure of Sr2Cd6InPb. Values from VASP.

Quantum ESPRESSO input file:
```
&SYSTEM
  ibrav = 0, nat = 20, ntyp = 4
/
ATOMIC_SPECIES
Pb 207.20 Pb.upf
Cd 112.41 Cd.upf
In 114.82 In.upf
Sr 87.62 Sr.upf
ATOMIC_POSITIONS crystal
Pb 0.4257 0.4257 0.7229
Pb 0.5743 0.5743 0.2771
Cd 0.6672 0.0699 0.5958
Cd 0.8064 0.8064 0.1606
Cd 0.1936 0.7734 0.8394
Cd 0.0699 0.6672 0.5958
Cd 0.7734 0.1936 0.8394
Cd 0.2266 0.8064 0.1606
Cd 0.6672 0.6672 0.5958
Cd 0.3328 0.3328 0.4042
Cd 0.3328 0.9301 0.4042
Cd 0.1936 0.1936 0.8394
Cd 0.8064 0.2266 0.1606
Cd 0.9301 0.3328 0.4042
In 0.5000 0.5000 0.5000
In 0.0000 0.0000 0.0000
Sr 0.8731 0.8731 0.3808
Sr 0.7338 0.7338 0.7987
Sr 0.1269 0.1269 0.6192
Sr 0.2662 0.2662 0.2013
CELL_PARAMETERS angstrom
-6.5678 0.7120 -2.9225
-3.6107 -5.8432 -2.2372
-9.5987 -3.0870 11.8916
```

As for the total energy: -1.587 eV/atom. The calculation puts the formation energy at -57 meV per atom. The symmetry is No. 166. The value obtained for the total moment is 0.0 μB/f.u.



Density functional theory data (PBE-GGA) for an optimized crystal structure of Sr3Cd6InPb2. Values from VASP.

Quantum ESPRESSO input file:
```
&SYSTEM
  ibrav = 0, nat = 12, ntyp = 4
/
ATOMIC_SPECIES
Cd 112.41 Cd.upf
Sr 87.62 Sr.upf
Pb 207.20 Pb.upf
In 114.82 In.upf
ATOMIC_POSITIONS crystal
Cd 0.1698 0.3396 0.2676
Cd 0.1698 0.8302 0.2676
Cd 0.8302 0.1698 0.7324
Cd 0.3396 0.1698 0.7324
Cd 0.8302 0.6604 0.7324
Cd 0.6604 0.8302 0.2676
Sr 0.0000 0.0000 0.0000
Sr 0.3333 0.6667 0.5701
Sr 0.6667 0.3333 0.4299
Pb 0.3333 0.6667 0.8909
Pb 0.6667 0.3333 0.1091
In 0.0000 0.0000 0.5000
CELL_PARAMETERS angstrom
-0.5703 -1.4630 -5.7999
5.4383 1.1262 2.2937
1.1421 -10.8718 2.6301
```

As for the total energy: -1.971 eV/atom. The calculation puts the formation energy at -247 meV per atom. The symmetry is No. 164. The value obtained for the total moment is 0.0 μB/f.u.



Density functional theory data (PBE-GGA) for an optimized crystal structure of Sr2Cd3In4Pb. Values from VASP.

Quantum ESPRESSO input file:
```
&SYSTEM
  ibrav = 0, nat = 10, ntyp = 4
/
ATOMIC_SPECIES
Cd 112.41 Cd.upf
In 114.82 In.upf
Sr 87.62 Sr.upf
Pb 207.20 Pb.upf
ATOMIC_POSITIONS crystal
Cd 0.0000 0.0000 0.5000
Cd 0.0000 0.5000 0.1360
Cd 0.5000 0.0000 0.8640
In 0.0000 0.0000 0.0000
In 0.5000 0.5000 0.0000
In 0.0000 0.5000 0.3550
In 0.5000 0.0000 0.6450
Sr 0.0000 0.5000 0.7567
Sr 0.5000 0.0000 0.2433
Pb 0.5000 0.5000 0.5000
CELL_PARAMETERS angstrom
-3.9435 -1.8089 2.0979
2.7699 -2.5320 3.0234
-0.0857 9.6811 8.1863
```

As for the total energy: -2.337 eV/atom. The calculation puts the formation energy at -260 meV per atom. The symmetry is No. 115. The value obtained for the total moment is 0.0 μB/f.u.



Density functional theory data (PBE-GGA) for an optimized crystal structure of SrCdInPb2. Values from VASP.

Quantum ESPRESSO input file:
```
&SYSTEM
  ibrav = 0, nat = 5, ntyp = 4
/
ATOMIC_SPECIES
Pb 207.20 Pb.upf
Sr 87.62 Sr.upf
Cd 112.41 Cd.upf
In 114.82 In.upf
ATOMIC_POSITIONS crystal
Pb 0.5000 0.0000 0.0000
Pb 0.0000 0.0000 0.5000
Sr 0.5000 0.5000 0.5000
Cd 0.0000 0.0000 0.0000
In 0.0000 0.5000 0.0000
CELL_PARAMETERS angstrom
5.7756 0.0000 0.0000
0.0000 5.4999 0.0000
0.0000 0.0000 5.7756
```

As for the total energy: -2.478 eV/atom. The calculation puts the formation energy at 72 meV per atom. The symmetry is No. 123. The value obtained for the total moment is 0.0 μB/f.u.



Density functional theory data (PBE-GGA) for an optimized crystal structure of Sr2CdIn6Pb. Values from VASP.

Quantum ESPRESSO input file:
```
&SYSTEM
  ibrav = 0, nat = 20, ntyp = 4
/
ATOMIC_SPECIES
Cd 112.41 Cd.upf
Pb 207.20 Pb.upf
In 114.82 In.upf
Sr 87.62 Sr.upf
ATOMIC_POSITIONS crystal
Cd 0.5000 0.5000 0.5000
Cd 0.0000 0.0000 0.0000
Pb 0.5814 0.5814 0.2559
Pb 0.4186 0.4186 0.7441
In 0.1157 0.6350 0.6142
In 0.7927 0.7927 0.1255
In 0.7109 0.2073 0.8745
In 0.8843 0.3650 0.3858
In 0.6350 0.6350 0.6142
In 0.2073 0.7109 0.8745
In 0.7927 0.2891 0.1255
In 0.3650 0.8843 0.3858
In 0.6350 0.1157 0.6142
In 0.2073 0.2073 0.8745
In 0.3650 0.3650 0.3858
In 0.2891 0.7927 0.1255
Sr 0.0956 0.0956 0.7132
Sr 0.9044 0.9044 0.2868
Sr 0.6793 0.6793 0.9620
Sr 0.3207 0.3207 0.0380
CELL_PARAMETERS angstrom
6.2595 0.0000 0.0000
3.1297 5.4209 0.0000
3.1297 1.8070 20.1134
```

As for the total energy: -2.555 eV/atom. The calculation puts the formation energy at -113 meV per atom. The symmetry is No. 166. The value obtained for the total moment is 0.0 μB/f.u.



Density functional theory data (PBE-GGA) for an optimized crystal structure of Sr2Cd4In3Pb. Values from VASP.

Quantum ESPRESSO input file:
```
&SYSTEM
  ibrav = 0, nat = 10, ntyp = 4
/
ATOMIC_SPECIES
Cd 112.41 Cd.upf
Pb 207.20 Pb.upf
In 114.82 In.upf
Sr 87.62 Sr.upf
ATOMIC_POSITIONS crystal
Cd 0.5000 0.5000 0.0000
Cd 0.0000 0.5000 0.3548
Cd 0.0000 0.0000 0.0000
Cd 0.5000 0.0000 0.6452
Pb 0.5000 0.5000 0.5000
In 0.5000 0.0000 0.8681
In 0.0000 0.0000 0.5000
In 0.0000 0.5000 0.1319
Sr 0.0000 0.5000 0.7607
Sr 0.5000 0.0000 0.2393
CELL_PARAMETERS angstrom
-2.2167 -4.0269 -1.5291
-1.0278 -1.1755 4.5858
-10.7213 6.2100 -0.8112
```

As for the total energy: -2.161 eV/atom. The calculation puts the formation energy at -266 meV per atom. The symmetry is No. 115. The value obtained for the total moment is 0.0 μB/f.u.